Compound: Mn2CdFe
Source: the Alexandria database
Functional: PBE-GGA
Structure: optimized geometry

```
data_Mn2CdFe
_cell_length_a 2.697
_cell_length_b 2.697
_cell_length_c 7.549
_cell_angle_alpha 90.00
_cell_angle_beta 90.00
_cell_angle_gamma 90.00
_symmetry_space_group_name_H-M 'P 1'
_symmetry_Int_Tables_number 1
loop_
_symmetry_equiv_pos_as_xyz
'x,y,z'
loop_
_atom_site_label
_atom_site_type_symbol
_atom_site_fract_x
_atom_site_fract_y
_atom_site_fract_z
_atom_site_occupancy
Mn1 Mn 0.000 0.000 0.000 1
Mn2 Mn 0.500 0.500 0.216 1
Cd1 Cd 0.000 0.000 0.510 1
Fe1 Fe 0.500 0.500 0.792 1
```

Output
E = -26.69 eV/cell
Space group = P4mm (99)
DOS(E_F) = 3.14 states/eV per cell
E_form = 0.256 eV per atom


Compound: Mn2CdFe
Source: the Alexandria database
Functional: PBE-GGA
Structure: optimized geometry

```
data_Mn2CdFe
_cell_length_a 2.672
_cell_length_b 3.528
_cell_length_c 5.890
_cell_angle_alpha 90.00
_cell_angle_beta 90.00
_cell_angle_gamma 90.00
_symmetry_space_group_name_H-M 'P 1'
_symmetry_Int_Tables_number 1
loop_
_symmetry_equiv_pos_as_xyz
'x,y,z'
loop_
_atom_site_label
_atom_site_type_symbol
_atom_site_fract_x
_atom_site_fract_y
_atom_site_fract_z
_atom_site_occupancy
Mn1 Mn 0.000 0.000 0.203 1
Mn2 Mn 0.000 0.000 0.797 1
Cd1 Cd 0.500 0.500 0.500 1
Fe1 Fe 0.500 0.500 0.000 1
```

Output
E = -26.21 eV/cell
Space group = Pmmm (47)
DOS(E_F) = 4.64 states/eV per cell
E_form = 0.377 eV per atom


Compound: Mn2CdFe2
Source: the Alexandria database
Functional: PBE-GGA
Structure: optimized geometry

```
data_Mn2CdFe2
_cell_length_a 6.993
_cell_length_b 6.993
_cell_length_c 2.555
_cell_angle_alpha 90.00
_cell_angle_beta 90.00
_cell_angle_gamma 90.00
_symmetry_space_group_name_H-M 'P 1'
_symmetry_Int_Tables_number 1
loop_
_symmetry_equiv_pos_as_xyz
'x,y,z'
loop_
_atom_site_label
_atom_site_type_symbol
_atom_site_fract_x
_atom_site_fract_y
_atom_site_fract_z
_atom_site_occupancy
Mn1 Mn 0.118 0.382 0.000 1
Mn2 Mn 0.382 0.882 0.000 1
Mn3 Mn 0.618 0.118 0.000 1
Mn4 Mn 0.882 0.618 0.000 1
Cd1 Cd 0.000 0.000 0.000 1
Cd2 Cd 0.500 0.500 0.000 1
Fe1 Fe 0.165 0.665 0.500 1
Fe2 Fe 0.335 0.165 0.500 1
Fe3 Fe 0.665 0.835 0.500 1
Fe4 Fe 0.835 0.335 0.500 1
```

Output
E = -68.82 eV/cell
Space group = P4/mbm (127)
E above lowest polymorph = 11 meV/atom
DOS(E_F) = 11.85 states/eV per cell
E_form = 0.354 eV per atom


Compound: Mn2CdFe
Source: the Alexandria database
Functional: PBE-GGA
Structure: optimized geometry

```
data_Mn2CdFe
_cell_length_a 5.093
_cell_length_b 5.093
_cell_length_c 5.093
_cell_angle_alpha 145.43
_cell_angle_beta 128.34
_cell_angle_gamma 63.66
_symmetry_space_group_name_H-M 'P 1'
_symmetry_Int_Tables_number 1
loop_
_symmetry_equiv_pos_as_xyz
'x,y,z'
loop_
_atom_site_label
_atom_site_type_symbol
_atom_site_fract_x
_atom_site_fract_y
_atom_site_fract_z
_atom_site_occupancy
Mn1 Mn 0.000 0.000 0.000 1
Mn2 Mn 0.744 0.244 0.500 1
Cd1 Cd 0.270 0.770 0.500 1
Fe1 Fe 0.531 0.531 0.000 1
```

Output
E = -25.93 eV/cell
Space group = Imm2 (44)
DOS(E_F) = 5.08 states/eV per cell
E_form = 0.446 eV per atom


Compound: MnCd2Fe
Source: the Alexandria database
Functional: PBE-GGA
Structure: optimized geometry

```
data_MnCd2Fe
_cell_length_a 4.983
_cell_length_b 4.983
_cell_length_c 5.037
_cell_angle_alpha 99.84
_cell_angle_beta 99.84
_cell_angle_gamma 33.76
_symmetry_space_group_name_H-M 'P 1'
_symmetry_Int_Tables_number 1
loop_
_symmetry_equiv_pos_as_xyz
'x,y,z'
loop_
_atom_site_label
_atom_site_type_symbol
_atom_site_fract_x
_atom_site_fract_y
_atom_site_fract_z
_atom_site_occupancy
Mn1 Mn 0.000 0.000 0.000 1
Cd1 Cd 0.247 0.247 0.746 1
Cd2 Cd 0.753 0.753 0.254 1
Fe1 Fe 0.500 0.500 0.500 1
```

Output
E = -17.91 eV/cell
Space group = C2/m (12)
E above lowest polymorph = 141 meV/atom
DOS(E_F) = 3.68 states/eV per cell
E_form = 0.389 eV per atom


Compound: MnCd2Fe
Source: the Alexandria database
Functional: PBE-GGA
Structure: optimized geometry

```
data_MnCd2Fe
_cell_length_a 4.920
_cell_length_b 4.920
_cell_length_c 2.883
_cell_angle_alpha 90.00
_cell_angle_beta 90.00
_cell_angle_gamma 108.72
_symmetry_space_group_name_H-M 'P 1'
_symmetry_Int_Tables_number 1
loop_
_symmetry_equiv_pos_as_xyz
'x,y,z'
loop_
_atom_site_label
_atom_site_type_symbol
_atom_site_fract_x
_atom_site_fract_y
_atom_site_fract_z
_atom_site_occupancy
Mn1 Mn 0.000 0.000 0.000 1
Cd1 Cd 0.000 0.500 0.500 1
Cd2 Cd 0.500 0.000 0.500 1
Fe1 Fe 0.500 0.500 0.000 1
```

Output
E = -18.13 eV/cell
Space group = Cmmm (65)
E above lowest polymorph = 84 meV/atom
DOS(E_F) = 2.92 states/eV per cell
E_form = 0.332 eV per atom


Compound: Mn2CdFe
Source: the Alexandria database
Functional: PBE-GGA
Structure: optimized geometry

```
data_Mn2CdFe
_cell_length_a 4.785
_cell_length_b 4.785
_cell_length_c 4.785
_cell_angle_alpha 131.40
_cell_angle_beta 131.40
_cell_angle_gamma 71.18
_symmetry_space_group_name_H-M 'P 1'
_symmetry_Int_Tables_number 1
loop_
_symmetry_equiv_pos_as_xyz
'x,y,z'
loop_
_atom_site_label
_atom_site_type_symbol
_atom_site_fract_x
_atom_site_fract_y
_atom_site_fract_z
_atom_site_occupancy
Mn1 Mn 0.250 0.750 0.500 1
Mn2 Mn 0.750 0.250 0.500 1
Cd1 Cd 0.000 0.000 0.000 1
Fe1 Fe 0.500 0.500 0.000 1
```

Output
E = -26.18 eV/cell
Space group = I4/mmm (139)
DOS(E_F) = 2.00 states/eV per cell
E_form = 0.385 eV per atom


Compound: MnCdFe
Source: the Alexandria database
Functional: PBE-GGA
Structure: optimized geometry

```
data_MnCdFe
_cell_length_a 6.041
_cell_length_b 6.041
_cell_length_c 6.041
_cell_angle_alpha 153.45
_cell_angle_beta 153.45
_cell_angle_gamma 37.90
_symmetry_space_group_name_H-M 'P 1'
_symmetry_Int_Tables_number 1
loop_
_symmetry_equiv_pos_as_xyz
'x,y,z'
loop_
_atom_site_label
_atom_site_type_symbol
_atom_site_fract_x
_atom_site_fract_y
_atom_site_fract_z
_atom_site_occupancy
Mn1 Mn 0.000 0.000 0.000 1
Cd1 Cd 0.309 0.309 0.000 1
Fe1 Fe 0.627 0.627 0.000 1
```

Output
E = -17.59 eV/cell
Space group = I4mm (107)
E above lowest polymorph = 0 meV/atom
DOS(E_F) = 2.86 states/eV per cell
E_form = 0.318 eV per atom